Li5Re: relaxed, PBE-GGA.

Cell: 4.754 8.029 8.029 Å, 18.16 90.00 90.00°
Fractional coordinates of all 6 atoms:
1 Li 0.000 0.000 0.000
2 Li 0.000 0.312 0.312
3 Li 0.500 0.096 0.096
4 Li 0.500 0.420 0.420
5 Li 0.500 0.742 0.742
6 Re 0.000 0.654 0.654

Values from the calculation:
Energy above the lowest structure with this stoichiometry (meV per atom): 119
V (A^3/atom): 15.92
Energy (eV/atom): -3.38
DOS at the Fermi energy (states/eV per cell): 3.86